[1]
This record from Alexandria via LeMat-Bulk describes crystalline Ac6Ge2Rh at its relaxed geometry. The functional is PBE.

a = 7.154 Å, b = 8.434 Å, c = 10.785 Å
α = 90.00°, β = 91.83°, γ = 90.00°
Element x y z (fractional)
Ac 0.657 0.176 0.568
Rh 0.500 0.500 0.000
Rh 0.000 0.000 0.500
Ac 0.152 0.317 0.438
Ac 0.853 0.961 0.247
Ac 0.848 0.683 0.562
Ac 0.147 0.039 0.753
Ge 0.934 0.382 0.752
Ac 0.348 0.817 0.062
Ac 0.353 0.539 0.747
Ac 0.843 0.676 0.932
Ac 0.647 0.461 0.253
Ac 0.652 0.183 0.938
Ge 0.566 0.882 0.748
Ge 0.066 0.618 0.248
Ge 0.434 0.118 0.252
Ac 0.343 0.824 0.432
Ac 0.157 0.324 0.068

Summary:
As for the calculated volume: 650.5 Å³ per cell. The value obtained for the formation energy is -491 meV/atom. The calculation puts the density of states at the Fermi level at 8.98 states/eV/f.u. As for the symmetry: P2_1/c (14).


[2]
This record from Alexandria via LeMat-Bulk describes crystalline Ac4Ge2Rh at its relaxed geometry. The functional is PBE.

a = 4.553 Å, b = 7.895 Å, c = 8.477 Å
α = 119.28°, β = 105.58°, γ = 90.00°
Element x y z (fractional)
Ge 0.731 0.738 0.461
Ac 0.119 0.807 0.238
Ac 0.372 0.731 0.744
Ac 0.628 0.269 0.256
Ge 0.269 0.262 0.539
Rh 0.000 0.000 0.000
Ac 0.881 0.193 0.762

Summary:
As for the calculated volume: 252.9 Å³ per cell. The value obtained for the formation energy is -520 meV/atom. The calculation puts the density of states at the Fermi level at 4.01 states/eV/f.u. As for the symmetry: C2/m (12).